# 1
Entry from the Alexandria database: crystalline AlHg2W at its relaxed geometry (GGA-PBE).

```
AlHg2W
1.0
4.8757 -1.4735 0.0000
4.8757 1.4735 0.0000
-1.0369 0.0000 5.2252
Al Hg W
1 2 1
Cartesian
0.0000 0.0000 0.0000 Al
4.4537 0.0000 2.8904 Hg
7.0360 0.0000 1.5894 Hg
1.7299 0.0000 4.3235 W
```

Values from the calculation:
Total energy, eV/atom: -3.780
Symmetry: Cm
Size of the total moment, μB/f.u.: 0.0
Energy relative to the elements, eV/atom: 0.544

# 2
Entry from the Alexandria database: crystalline LiNdMgSi2 at its relaxed geometry (GGA-PBE).

```
LiNdMgSi2
1.0
-2.0999 2.0999 5.6730
2.0999 -2.0999 5.6730
2.0999 2.0999 -5.6730
Li Nd Mg Si
1 1 1 2
Cartesian
0.0000 0.0000 0.0000 Li
0.0000 2.0999 2.8365 Nd
0.0000 0.0000 5.6730 Mg
2.0999 0.0000 1.6588 Si
2.0999 0.0000 4.0142 Si
```

Values from the calculation:
Total energy, eV/atom: -4.278
Formation energy from raw total energies, eV per atom: -0.4538
Symmetry: I-4m2
Size of the total moment, μB/f.u.: 0.0

# 3
Entry from the Alexandria database: crystalline Li4SiPt at its relaxed geometry (GGA-PBE).

```
Li4SiPt
1.0
4.9068 0.0000 0.0000
0.0000 4.3697 0.0000
-2.4441 0.0000 7.5651
Li Si Pt
8 2 2
Cartesian
-0.0033 1.0924 0.6244 Li
-0.0048 1.0924 3.1560 Li
-0.0048 3.2773 4.4100 Li
0.0056 3.2773 6.9411 Li
2.4570 1.0924 0.6240 Li
2.4674 1.0924 3.1551 Li
2.4674 3.2773 4.4092 Li
2.4659 3.2773 6.9408 Li
1.2281 3.2773 1.8781 Si
1.2345 1.0924 5.6870 Si
-1.2200 1.0924 5.6589 Pt
3.6826 3.2773 1.9063 Pt
```

Values from the calculation:
Total energy, eV/atom: -3.677
Excess energy over the best structure of this formula in the dataset, kcal/mol of atoms: 0.00
Formation energy from raw total energies, eV per atom: -0.4902
Symmetry: P2_1/m
Size of the total moment, μB/f.u.: 0.0

# 4
Entry from the Alexandria database: crystalline Li6Mg2Zn at its relaxed geometry (GGA-PBE).

```
Li6Mg2Zn
1.0
8.3042 0.0000 0.0000
-4.1521 7.1916 0.0000
0.0000 0.0000 2.9335
Li Mg Zn
6 2 1
Cartesian
-1.1922 2.0650 0.0000 Li
-2.7012 4.6786 1.4668 Li
2.3845 0.0000 0.0000 Li
1.4509 2.5130 1.4668 Li
5.4024 0.0000 1.4668 Li
2.9599 5.1266 0.0000 Li
0.0000 4.7944 0.0000 Mg
4.1521 2.3972 0.0000 Mg
0.0000 0.0000 1.4668 Zn
```

Values from the calculation:
Total energy, eV/atom: -1.809
Symmetry: P-62m
Size of the total moment, μB/f.u.: 0.0
Energy relative to the elements, eV/atom: -0.037

# 5
Entry from the Alexandria database: crystalline HfZrCo at its relaxed geometry (GGA-PBE).

```
HfZrCo
1.0
0.0000 4.7277 9.0631
2.5430 0.0000 9.0631
2.5430 4.7277 0.0000
Hf Zr Co
4 4 4
Cartesian
0.6357 1.1819 0.7322 Hf
0.6357 1.1819 3.7993 Hf
4.4502 8.2735 14.3268 Hf
4.4502 8.2735 17.3939 Hf
1.9072 2.0083 6.7973 Zr
3.1787 4.3721 11.3288 Zr
1.9072 5.0832 6.7973 Zr
3.1787 7.4471 11.3288 Zr
1.9072 3.5458 4.5377 Co
1.9072 3.5458 9.0569 Co
3.1787 5.9096 9.0693 Co
3.1787 5.9096 13.5884 Co
```

Values from the calculation:
Total energy, eV/atom: -8.802
Excess energy over the best structure of this formula in the dataset, kcal/mol of atoms: 0.00
Symmetry: Fddd
Size of the total moment, μB/f.u.: 0.0
Energy relative to the elements, eV/atom: -0.266

# 6
Entry from the Alexandria database: crystalline Mg2CuSe at its relaxed geometry (GGA-PBE).

```
Mg2CuSe
1.0
3.4213 0.0000 0.0000
0.0000 3.4553 0.0000
0.0000 0.0000 6.0639
Mg Cu Se
2 1 1
Cartesian
0.0000 0.0000 1.4539 Mg
0.0000 0.0000 4.6100 Mg
1.7106 1.7277 0.0000 Cu
1.7106 1.7277 3.0319 Se
```

Values from the calculation:
Total energy, eV/atom: -3.054
Formation energy from raw total energies, eV per atom: -0.3612
Symmetry: Pmmm
Size of the total moment, μB/f.u.: 0.0

# 7
Entry from the Alexandria database: crystalline RbVPtI2 at its relaxed geometry (GGA-PBE).

```
RbVPtI2
1.0
6.4530 0.0000 0.0000
0.0000 6.4530 0.0000
0.0000 0.0000 5.8566
Rb V Pt I
1 1 1 2
Cartesian
0.0000 0.0000 0.0000 Rb
0.0000 0.0000 2.9283 V
3.2265 3.2265 2.9283 Pt
0.0000 3.2265 0.0000 I
3.2265 0.0000 0.0000 I
```

Values from the calculation:
Total energy, eV/atom: -2.308
Formation energy from raw total energies, eV per atom: 1.5375
Symmetry: P4/mmm
Size of the total moment, μB/f.u.: 4.0

# 8
Entry from the Alexandria database: crystalline Ag3SbO4 at its relaxed geometry (GGA-PBE).

```
Ag3SbO4
1.0
-2.2382 2.2382 5.8404
2.2382 -2.2382 5.8404
2.2382 2.2382 -5.8404
Ag Sb O
3 1 4
Cartesian
0.0000 0.0000 0.0000 Ag
2.2382 0.0000 2.9202 Ag
0.0000 2.2382 2.9202 Ag
0.0000 0.0000 5.8404 Sb
2.2382 0.0000 0.0000 O
0.0000 0.0000 3.8751 O
0.0000 2.2382 0.0000 O
0.0000 0.0000 7.8058 O
```

Values from the calculation:
Total energy, eV/atom: -4.527
Excess energy over the best structure of this formula in the dataset, kcal/mol of atoms: 4.16
Formation energy from raw total energies, eV per atom: -0.4636
Symmetry: I4/mmm
Size of the total moment, μB/f.u.: 0.0

# 9
Entry from the Alexandria database: crystalline Sc5CoAg at its relaxed geometry (GGA-PBE).

```
Sc5CoAg
1.0
4.1456 -3.3397 0.0000
4.1456 3.3397 0.0000
-2.8786 0.0000 10.6418
Sc Co Ag
10 2 2
Cartesian
1.9866 3.2713 7.9814 Sc
0.2648 1.0948 6.6214 Sc
0.4115 1.1081 9.8915 Sc
1.7041 -1.0948 1.3004 Sc
3.5617 1.1081 6.0712 Sc
1.8508 -1.1081 4.5706 Sc
3.7084 1.0948 9.3414 Sc
5.0010 -1.1081 0.7503 Sc
5.1477 -1.0948 4.0205 Sc
3.4259 -3.2713 2.6605 Sc
0.0000 0.0000 0.0000 Co
-1.4393 0.0000 5.3209 Co
3.4259 0.6532 2.6605 Ag
1.9866 -0.6532 7.9814 Ag
```

Values from the calculation:
Total energy, eV/atom: -6.026
Symmetry: C2/c
Size of the total moment, μB/f.u.: 0.0
Energy relative to the elements, eV/atom: -0.081

# 10
Entry from the Alexandria database: crystalline La2PrNdY2 at its relaxed geometry (GGA-PBE).

```
La2PrNdY2
1.0
6.6787 0.0000 0.0000
0.0000 18.6562 0.0000
0.0000 0.0000 3.4626
La Pr Nd Y
4 2 2 4
Cartesian
1.4474 3.5118 0.0000 La
1.8920 12.8399 1.7313 La
4.7868 5.8163 1.7313 La
5.2313 15.1445 0.0000 La
0.0000 0.0000 0.0000 Pr
3.3394 9.3281 1.7313 Pr
0.0000 9.3281 0.0000 Nd
3.3394 0.0000 1.7313 Nd
1.4284 6.6071 1.7313 Y
1.9110 15.9353 0.0000 Y
4.7677 2.7210 0.0000 Y
5.2504 12.0491 1.7313 Y
```

Values from the calculation:
Total energy, eV/atom: -5.136
Symmetry: Pnnm
Size of the total moment, μB/f.u.: 0.0
Energy relative to the elements, eV/atom: 0.252

# 11
Entry from the Alexandria database: crystalline NaAlZn at its relaxed geometry (GGA-PBE).

```
NaAlZn
1.0
-2.7480 2.7895 3.8675
2.7480 -2.7895 3.8675
2.7480 2.7895 -3.8675
Na Al Zn
2 2 2
Cartesian
0.0000 1.3947 0.9713 Na
2.7480 1.3947 2.8962 Na
1.3740 1.3947 -1.9337 Al
1.3740 -1.3947 1.9337 Al
2.7480 0.0000 0.0000 Zn
0.0000 0.0000 3.8675 Zn
```

Values from the calculation:
Total energy, eV/atom: -2.108
Excess energy over the best structure of this formula in the dataset, kcal/mol of atoms: 0.00
Symmetry: Imma
Size of the total moment, μB/f.u.: 0.0
Energy relative to the elements, eV/atom: 0.004

# 12
Entry from the Alexandria database: crystalline ZnInPdRh at its relaxed geometry (GGA-PBE).

```
ZnInPdRh
1.0
3.4735 0.0000 0.0000
0.0000 4.2497 0.0000
0.0000 0.0000 4.2813
Zn In Pd Rh
1 1 1 1
Cartesian
0.0000 0.0000 0.0000 Zn
0.0000 2.1248 2.1406 In
1.7368 2.1248 0.0000 Pd
1.7368 0.0000 2.1406 Rh
```

Values from the calculation:
Total energy, eV/atom: -4.610
Symmetry: Pmmm
Size of the total moment, μB/f.u.: 0.0
Energy relative to the elements, eV/atom: -0.471

# 13
Entry from the Alexandria database: crystalline ZnCd4Ag5 at its relaxed geometry (GGA-PBE).

```
ZnCd4Ag5
1.0
3.3803 0.0000 0.0000
0.0000 3.3803 0.0000
0.0000 0.0000 16.4038
Zn Cd Ag
1 4 5
Cartesian
0.0000 0.0000 0.0000 Zn
0.0000 0.0000 3.1606 Cd
0.0000 0.0000 6.5216 Cd
0.0000 0.0000 9.8822 Cd
0.0000 0.0000 13.2432 Cd
1.6901 1.6901 1.4501 Ag
1.6901 1.6901 4.8447 Ag
1.6901 1.6901 8.2019 Ag
1.6901 1.6901 11.5591 Ag
1.6901 1.6901 14.9537 Ag
```

Values from the calculation:
Total energy, eV/atom: -1.961
Symmetry: P4/mmm
Size of the total moment, μB/f.u.: 0.0
Energy relative to the elements, eV/atom: -0.042

# 14
Entry from the Alexandria database: crystalline SiIr2Cl2 at its relaxed geometry (GGA-PBE).

```
SiIr2Cl2
1.0
4.3146 0.0000 0.0000
0.0000 4.3146 0.0000
0.0000 0.0000 5.8938
Si Ir Cl
1 2 2
Cartesian
0.0000 0.0000 0.0000 Si
0.0000 2.1573 2.9469 Ir
2.1573 0.0000 2.9469 Ir
2.1573 2.1573 0.0000 Cl
2.1573 2.1573 2.9469 Cl
```

Values from the calculation:
Total energy, eV/atom: -3.938
Formation energy from raw total energies, eV per atom: 1.4293
Symmetry: P4/mmm
Size of the total moment, μB/f.u.: 0.0

# 15
Entry from the Alexandria database: crystalline ZnS at its relaxed geometry (GGA-PBE).

```
ZnS
1.0
3.8487 0.0000 0.0000
-1.9243 3.3330 0.0000
0.0000 0.0000 18.8804
Zn S
6 6
Cartesian
0.0000 0.0000 0.0000 Zn
0.0000 0.0000 9.4402 Zn
0.0000 2.2220 3.1486 Zn
0.0000 2.2220 15.7325 Zn
1.9243 1.1110 6.2922 Zn
1.9243 1.1110 12.5888 Zn
0.0000 0.0000 2.3619 S
0.0000 0.0000 11.8021 S
0.0000 2.2220 5.5060 S
0.0000 2.2220 18.0900 S
1.9243 1.1110 8.6498 S
1.9243 1.1110 14.9462 S
```

Values from the calculation:
Total energy, eV/atom: -3.507
Formation energy from raw total energies, eV per atom: -0.8066
Symmetry: P6_3mc
Size of the total moment, μB/f.u.: 0.0

# 16
Entry from the Alexandria database: crystalline YMg2BeNb at its relaxed geometry (GGA-PBE).

```
YMg2BeNb
1.0
5.5312 0.0000 0.0000
0.0000 5.5312 0.0000
0.0000 0.0000 4.9614
Y Mg Be Nb
1 2 1 1
Cartesian
0.0000 0.0000 0.0000 Y
0.0000 2.7656 0.0000 Mg
2.7656 0.0000 0.0000 Mg
2.7656 2.7656 2.4807 Be
0.0000 0.0000 2.4807 Nb
```

Values from the calculation:
Total energy, eV/atom: -2.825
Symmetry: P4/mmm
Size of the total moment, μB/f.u.: 0.0
Energy relative to the elements, eV/atom: 1.865

# 17
Entry from the Alexandria database: crystalline PmPr2Y6 at its relaxed geometry (GGA-PBE).

```
PmPr2Y6
1.0
6.5073 -7.1757 0.0000
6.5073 7.1757 0.0000
-1.4483 0.0000 6.4912
Pm Pr Y
2 4 12
Cartesian
5.4211 5.4757 4.8684 Pm
6.1452 -5.4757 1.6228 Pm
3.7695 0.3845 4.0647 Pr
4.4937 -0.3845 0.8192 Pr
7.0726 0.3845 5.6720 Pr
7.7968 -0.3845 2.4264 Pr
0.5628 1.2383 5.2872 Y
2.9750 2.8867 1.7402 Y
1.2869 -1.2383 2.0416 Y
4.6232 2.7194 6.4791 Y
6.2190 2.7194 3.2576 Y
2.2508 -2.8867 4.9857 Y
9.3155 2.8867 1.5054 Y
5.3473 -2.7194 3.2335 Y
6.9431 -2.7194 0.0121 Y
10.2794 1.2383 4.4495 Y
8.5914 -2.8867 4.7510 Y
11.0036 -1.2383 1.2040 Y
```

Values from the calculation:
Total energy, eV/atom: -5.800
Excess energy over the best structure of this formula in the dataset, kcal/mol of atoms: 0.00
Symmetry: C2/c
Size of the total moment, μB/f.u.: 0.0
Energy relative to the elements, eV/atom: 0.099

# 18
Entry from the Alexandria database: crystalline Si2TcTe at its relaxed geometry (GGA-PBE).

```
Si2TcTe
1.0
-2.9365 2.9365 5.6804
2.9365 -2.9365 5.6804
2.9365 2.9365 -5.6804
Si Tc Te
4 2 2
Cartesian
4.4047 1.1255 -1.4201 Si
1.1255 1.4682 1.4201 Si
-1.4682 1.8109 4.2603 Si
1.8109 1.4682 7.1004 Si
0.0000 0.0000 0.0000 Tc
0.0000 2.9365 2.8402 Tc
2.9365 0.0000 2.8402 Te
0.0000 0.0000 5.6804 Te
```

Values from the calculation:
Total energy, eV/atom: -5.635
Formation energy from raw total energies, eV per atom: 0.4537
Symmetry: I-42d
Size of the total moment, μB/f.u.: 0.0

# 19
Entry from the Alexandria database: crystalline HfPdO3 at its relaxed geometry (GGA-PBE).

```
HfPdO3
1.0
3.9196 0.0000 0.0000
0.0000 3.9196 0.0000
0.0000 0.0000 3.9196
Hf Pd O
1 1 3
Cartesian
0.0000 0.0000 0.0000 Hf
1.9598 1.9598 1.9598 Pd
0.0000 1.9598 1.9598 O
1.9598 0.0000 1.9598 O
1.9598 1.9598 0.0000 O
```

Values from the calculation:
Total energy, eV/atom: -6.620
Formation energy from raw total energies, eV per atom: -0.6160
Symmetry: Pm-3m
Size of the total moment, μB/f.u.: 0.0

# 20
Entry from the Alexandria database: crystalline Sm4InS5 at its relaxed geometry (GGA-PBE).

```
Sm4InS5
1.0
2.0140 1.1628 17.3753
-2.0140 1.1628 17.3753
0.0000 -2.3256 17.3753
Sm In S
4 1 5
Cartesian
0.0000 0.0000 4.9110 Sm
0.0000 0.0000 15.7472 Sm
0.0000 0.0000 36.3786 Sm
0.0000 0.0000 47.2148 Sm
0.0000 0.0000 26.0629 In
0.0000 0.0000 0.0000 S
0.0000 0.0000 10.9004 S
0.0000 0.0000 20.6456 S
0.0000 0.0000 31.4802 S
0.0000 0.0000 41.2255 S
```

Values from the calculation:
Total energy, eV/atom: -5.986
Formation energy from raw total energies, eV per atom: -1.7603
Symmetry: R-3m
Size of the total moment, μB/f.u.: 0.0